## A
{"formula": "SmInNO", "functional": "PBE", "state": "relaxed", "cell": [[5.991, 0.000, 0.000], [0.000, 8.313, 0.000], [0.000, 0.000, 5.872]], "species": ["Sm", "Sm", "Sm", "Sm", "In", "In", "In", "In", "N", "N", "N", "N", "O", "O", "O", "O"], "frac_coords": [[0.001, 0.121, 0.000], [0.499, 0.121, 0.500], [0.501, 0.879, 0.000], [0.999, 0.879, 0.500], [0.058, 0.603, 0.969], [0.442, 0.603, 0.469], [0.558, 0.397, 0.969], [0.942, 0.397, 0.469], [0.094, 0.616, 0.595], [0.406, 0.616, 0.095], [0.594, 0.384, 0.595], [0.906, 0.384, 0.095], [0.248, 0.000, 0.247], [0.252, 0.000, 0.747], [0.748, 0.000, 0.247], [0.752, 0.000, 0.747]]}

## B
{"formula": "SmInNO", "functional": "PBE", "state": "relaxed", "cell": [[4.946, 0.000, 0.000], [0.000, 4.946, 0.000], [0.000, 0.000, 4.712]], "species": ["Sm", "Sm", "In", "In", "N", "N", "O", "O"], "frac_coords": [[0.250, 0.750, 0.000], [0.750, 0.250, 0.000], [0.250, 0.250, 0.490], [0.750, 0.750, 0.510], [0.250, 0.250, 0.981], [0.750, 0.750, 0.019], [0.250, 0.750, 0.500], [0.750, 0.250, 0.500]]}

## C
{"formula": "SmInNO", "functional": "PBE", "state": "relaxed", "cell": [[4.539, 0.000, 0.000], [0.000, 5.495, 0.000], [0.000, 0.000, 5.093]], "species": ["Sm", "Sm", "In", "In", "N", "N", "O", "O"], "frac_coords": [[0.000, 0.232, 0.000], [0.000, 0.768, 0.500], [0.500, 0.249, 0.508], [0.500, 0.751, 0.008], [0.000, 0.205, 0.493], [0.000, 0.795, 0.993], [0.500, 0.351, 0.955], [0.500, 0.649, 0.455]]}

Referenced to the most stable arrangement, the calculated values in meV per atom are A 0; B 206; C 122.

## A
{"formula": "InTcNO", "functional": "PBE", "state": "relaxed", "cell": [[5.421, 0.000, 0.000], [0.000, 6.204, 0.000], [0.000, 0.000, 8.039]], "species": ["In", "In", "In", "In", "Tc", "Tc", "Tc", "Tc", "N", "N", "N", "N", "O", "O", "O", "O"], "frac_coords": [[0.250, 0.000, 0.000], [0.250, 0.500, 0.000], [0.750, 0.000, 0.000], [0.750, 0.500, 0.000], [0.000, 0.250, 0.435], [0.000, 0.750, 0.565], [0.500, 0.250, 0.565], [0.500, 0.750, 0.435], [0.000, 0.250, 0.222], [0.000, 0.750, 0.778], [0.500, 0.250, 0.778], [0.500, 0.750, 0.222], [0.250, 0.000, 0.500], [0.250, 0.500, 0.500], [0.750, 0.000, 0.500], [0.750, 0.500, 0.500]]}

## B
{"formula": "InTcNO", "functional": "PBE", "state": "relaxed", "cell": [[5.597, 0.000, 0.000], [0.000, 7.672, 0.000], [0.000, 0.000, 4.961]], "species": ["In", "In", "In", "In", "Tc", "Tc", "Tc", "Tc", "N", "N", "N", "N", "O", "O", "O", "O"], "frac_coords": [[0.030, 0.147, 0.000], [0.470, 0.147, 0.500], [0.530, 0.853, 0.000], [0.970, 0.853, 0.500], [0.126, 0.657, 0.026], [0.374, 0.657, 0.526], [0.626, 0.343, 0.026], [0.874, 0.343, 0.526], [0.074, 0.142, 0.479], [0.426, 0.142, 0.979], [0.574, 0.858, 0.479], [0.926, 0.858, 0.979], [0.126, 0.499, 0.705], [0.374, 0.499, 0.205], [0.626, 0.501, 0.705], [0.874, 0.501, 0.205]]}

## C
{"formula": "InTcNO", "functional": "PBE", "state": "relaxed", "cell": [[3.175, 0.000, 0.000], [0.000, 6.173, 0.000], [0.000, 0.000, 5.896]], "species": ["In", "In", "Tc", "Tc", "N", "N", "O", "O"], "frac_coords": [[0.000, 0.119, 0.000], [0.000, 0.881, 0.500], [0.500, 0.279, 0.496], [0.500, 0.721, 0.996], [0.000, 0.311, 0.334], [0.000, 0.689, 0.834], [0.500, 0.306, 0.837], [0.500, 0.694, 0.337]]}

Referenced to the most stable arrangement, the calculated values in meV per atom are A 260; B 0; C 129.

## A
{"formula": "InTcNO", "functional": "PBE", "state": "relaxed", "cell": [[4.214, 0.000, 0.000], [0.000, 4.214, 0.000], [0.000, 0.000, 6.782]], "species": ["In", "In", "Tc", "Tc", "N", "N", "O", "O"], "frac_coords": [[0.250, 0.750, 0.000], [0.750, 0.250, 0.000], [0.250, 0.250, 0.466], [0.750, 0.750, 0.534], [0.250, 0.250, 0.205], [0.750, 0.750, 0.795], [0.250, 0.750, 0.500], [0.750, 0.250, 0.500]]}

## B
{"formula": "InTcNO", "functional": "PBE", "state": "relaxed", "cell": [[3.850, 0.000, 0.000], [0.000, 3.850, 0.000], [0.000, 0.000, 7.091]], "species": ["In", "In", "Tc", "Tc", "N", "N", "O", "O"], "frac_coords": [[0.250, 0.250, 0.146], [0.750, 0.750, 0.854], [0.250, 0.750, 0.500], [0.750, 0.250, 0.500], [0.250, 0.250, 0.608], [0.750, 0.750, 0.392], [0.250, 0.750, 0.000], [0.750, 0.250, 0.000]]}

Referenced to the most stable arrangement, the calculated values in meV per atom are A 449; B 0.

## A
{"formula": "TmInNO", "functional": "PBE", "state": "relaxed", "cell": [[4.884, 0.000, 0.000], [0.000, 4.884, 0.000], [0.000, 0.000, 4.715]], "species": ["Tm", "Tm", "In", "In", "N", "N", "O", "O"], "frac_coords": [[0.250, 0.750, 0.000], [0.750, 0.250, 0.000], [0.250, 0.250, 0.498], [0.750, 0.750, 0.502], [0.250, 0.250, 0.997], [0.750, 0.750, 0.003], [0.250, 0.750, 0.500], [0.750, 0.250, 0.500]]}

## B
{"formula": "TmInNO", "functional": "PBE", "state": "relaxed", "cell": [[3.748, 0.000, 0.000], [0.000, 6.323, 0.000], [0.000, 0.000, 5.878]], "species": ["Tm", "Tm", "In", "In", "N", "N", "O", "O"], "frac_coords": [[0.000, 0.170, 0.000], [0.000, 0.830, 0.500], [0.500, 0.341, 0.502], [0.500, 0.659, 0.002], [0.500, 0.329, 0.879], [0.500, 0.671, 0.379], [0.000, 0.156, 0.373], [0.000, 0.844, 0.873]]}

## C
{"formula": "TmInNO", "functional": "PBE", "state": "relaxed", "cell": [[5.720, 0.000, 0.000], [0.000, 8.224, 0.000], [0.000, 0.000, 5.663]], "species": ["Tm", "Tm", "Tm", "Tm", "In", "In", "In", "In", "N", "N", "N", "N", "O", "O", "O", "O"], "frac_coords": [[0.002, 0.114, 0.000], [0.498, 0.114, 0.500], [0.502, 0.886, 0.000], [0.998, 0.886, 0.500], [0.053, 0.612, 0.971], [0.447, 0.612, 0.471], [0.553, 0.388, 0.971], [0.947, 0.388, 0.471], [0.068, 0.628, 0.576], [0.432, 0.628, 0.076], [0.568, 0.372, 0.576], [0.932, 0.372, 0.076], [0.249, 0.000, 0.248], [0.251, 0.000, 0.748], [0.749, 0.000, 0.248], [0.751, 0.000, 0.748]]}

## D
{"formula": "TmInNO", "functional": "PBE", "state": "relaxed", "cell": [[6.973, 0.000, 0.000], [0.000, 7.591, 0.000], [0.000, 0.000, 4.910]], "species": ["Tm", "Tm", "Tm", "Tm", "In", "In", "In", "In", "N", "N", "N", "N", "O", "O", "O", "O"], "frac_coords": [[0.091, 0.130, 0.000], [0.409, 0.130, 0.500], [0.591, 0.870, 0.000], [0.909, 0.870, 0.500], [0.107, 0.651, 0.987], [0.393, 0.651, 0.487], [0.607, 0.349, 0.987], [0.893, 0.349, 0.487], [0.091, 0.117, 0.524], [0.409, 0.117, 0.024], [0.591, 0.883, 0.524], [0.909, 0.883, 0.024], [0.004, 0.604, 0.558], [0.496, 0.604, 0.058], [0.504, 0.396, 0.558], [0.996, 0.396, 0.058]]}

Referenced to the most stable arrangement, the calculated values in meV per atom are A 163; B 194; C 0; D 155.

## A
{"formula": "ZnInNO", "functional": "PBE", "state": "relaxed", "cell": [[4.571, 0.000, 0.000], [0.000, 4.571, 0.000], [0.000, 0.000, 4.504]], "species": ["Zn", "Zn", "In", "In", "N", "N", "O", "O"], "frac_coords": [[0.250, 0.250, 0.001], [0.750, 0.750, 0.999], [0.250, 0.750, 0.500], [0.750, 0.250, 0.500], [0.250, 0.250, 0.503], [0.750, 0.750, 0.497], [0.250, 0.750, 0.000], [0.750, 0.250, 0.000]]}

## B
{"formula": "ZnInNO", "functional": "PBE", "state": "relaxed", "cell": [[3.472, 0.000, 0.000], [0.000, 5.844, 0.000], [0.000, 0.000, 5.507]], "species": ["Zn", "Zn", "In", "In", "N", "N", "O", "O"], "frac_coords": [[0.000, 0.151, 0.000], [0.000, 0.849, 0.500], [0.500, 0.320, 0.488], [0.500, 0.680, 0.988], [0.000, 0.162, 0.359], [0.000, 0.838, 0.859], [0.500, 0.326, 0.880], [0.500, 0.674, 0.380]]}

## C
{"formula": "ZnInNO", "functional": "PBE", "state": "relaxed", "cell": [[3.769, 0.000, 0.000], [0.000, 3.769, 0.000], [0.000, 0.000, 7.237]], "species": ["Zn", "Zn", "In", "In", "N", "N", "O", "O"], "frac_coords": [[0.250, 0.750, 0.000], [0.750, 0.250, 0.000], [0.250, 0.250, 0.355], [0.750, 0.750, 0.645], [0.250, 0.250, 0.866], [0.750, 0.750, 0.134], [0.250, 0.750, 0.500], [0.750, 0.250, 0.500]]}

Referenced to the most stable arrangement, the calculated values in meV per atom are A 141; B 0; C 499.

## A
{"formula": "ZnInNO", "functional": "PBE", "state": "relaxed", "cell": [[3.207, 0.000, 0.000], [0.000, 3.207, 0.000], [0.000, 0.000, 4.449]], "species": ["Zn", "In", "N", "O"], "frac_coords": [[0.000, 0.000, 0.000], [0.500, 0.500, 0.500], [0.000, 0.000, 0.500], [0.500, 0.500, 0.000]]}

## B
{"formula": "ZnInNO", "functional": "PBE", "state": "relaxed", "cell": [[5.493, 0.000, 0.000], [0.000, 9.142, 0.000], [-2.733, 0.000, 4.955]], "species": ["Zn", "Zn", "Zn", "Zn", "In", "In", "In", "In", "N", "N", "N", "N", "O", "O", "O", "O"], "frac_coords": [[0.000, 0.146, 0.000], [0.000, 0.854, 0.000], [0.500, 0.354, 0.000], [0.500, 0.646, 0.000], [0.164, 0.500, 0.313], [0.352, 0.000, 0.687], [0.664, 0.000, 0.313], [0.852, 0.500, 0.687], [0.037, 0.000, 0.289], [0.249, 0.500, 0.712], [0.537, 0.500, 0.289], [0.749, 0.000, 0.712], [0.379, 0.152, 0.001], [0.379, 0.848, 0.001], [0.879, 0.348, 0.001], [0.879, 0.652, 0.001]]}

## C
{"formula": "ZnInNO", "functional": "PBE", "state": "relaxed", "cell": [[3.447, 0.000, 0.000], [0.000, 5.851, 0.000], [0.000, 0.000, 5.500]], "species": ["Zn", "Zn", "In", "In", "N", "N", "O", "O"], "frac_coords": [[0.000, 0.175, 0.000], [0.000, 0.825, 0.500], [0.500, 0.336, 0.514], [0.500, 0.664, 0.014], [0.500, 0.315, 0.900], [0.500, 0.685, 0.400], [0.000, 0.158, 0.380], [0.000, 0.842, 0.880]]}

Referenced to the most stable arrangement, the calculated values in meV per atom are A 150; B 88; C 0.

## A
{"formula": "InW2N", "functional": "PBE", "state": "relaxed", "cell": [[4.588, -2.724, 0.000], [4.588, 2.724, 0.000], [-3.741, 0.000, 14.266]], "species": ["In", "In", "In", "In", "In", "In", "W", "W", "W", "W", "W", "W", "W", "W", "W", "W", "W", "W", "N", "N", "N", "N", "N", "N"], "frac_coords": [[0.112, 0.888, 0.750], [0.195, 0.453, 0.254], [0.453, 0.195, 0.754], [0.547, 0.805, 0.246], [0.805, 0.547, 0.746], [0.888, 0.112, 0.250], [0.048, 0.169, 0.575], [0.160, 0.308, 0.921], [0.169, 0.048, 0.075], [0.308, 0.160, 0.421], [0.420, 0.434, 0.596], [0.434, 0.420, 0.096], [0.566, 0.580, 0.904], [0.580, 0.566, 0.404], [0.692, 0.840, 0.579], [0.831, 0.952, 0.925], [0.840, 0.692, 0.079], [0.952, 0.831, 0.425], [0.000, 0.500, 0.500], [0.248, 0.660, 0.979], [0.340, 0.752, 0.521], [0.500, 0.000, 0.000], [0.660, 0.248, 0.479], [0.752, 0.340, 0.021]]}

## B
{"formula": "InW2N", "functional": "PBE", "state": "relaxed", "cell": [[2.911, 0.000, 0.000], [-1.455, 2.521, 0.000], [0.000, 0.000, 15.509]], "species": ["In", "In", "W", "W", "W", "W", "N", "N"], "frac_coords": [[0.333, 0.667, 0.250], [0.667, 0.333, 0.750], [0.333, 0.667, 0.591], [0.333, 0.667, 0.909], [0.667, 0.333, 0.091], [0.667, 0.333, 0.409], [0.000, 0.000, 0.000], [0.000, 0.000, 0.500]]}

Referenced to the most stable arrangement, the calculated values in meV per atom are A 0; B 36.

## A
{"formula": "NaInNiSe3", "functional": "PBE", "state": "relaxed", "cell": [[1.952, -6.547, 0.000], [1.952, 6.547, 0.000], [0.000, 0.000, 10.914]], "species": ["Na", "Na", "In", "In", "Ni", "Ni", "Se", "Se", "Se", "Se", "Se", "Se"], "frac_coords": [[0.244, 0.756, 0.750], [0.756, 0.244, 0.250], [0.000, 0.000, 0.000], [0.000, 0.000, 0.500], [0.474, 0.526, 0.250], [0.526, 0.474, 0.750], [0.077, 0.923, 0.250], [0.365, 0.635, 0.071], [0.365, 0.635, 0.429], [0.635, 0.365, 0.571], [0.635, 0.365, 0.929], [0.923, 0.077, 0.750]]}

## B
{"formula": "NaInNiSe3", "functional": "PBE", "state": "relaxed", "cell": [[7.913, 0.000, 0.000], [0.000, 3.909, 0.000], [-1.735, 0.000, 9.378]], "species": ["Na", "Na", "In", "In", "Ni", "Ni", "Se", "Se", "Se", "Se", "Se", "Se"], "frac_coords": [[0.226, 0.250, 0.284], [0.774, 0.750, 0.716], [0.318, 0.750, 0.884], [0.682, 0.250, 0.116], [0.064, 0.250, 0.586], [0.936, 0.750, 0.414], [0.074, 0.250, 0.841], [0.216, 0.750, 0.547], [0.445, 0.750, 0.165], [0.555, 0.250, 0.835], [0.784, 0.250, 0.453], [0.926, 0.750, 0.159]]}

Referenced to the most stable arrangement, the calculated values in meV per atom are A 75; B 0.